1.
A relaxed Dy8Y3Sc2 crystal. Source: Alexandria via LeMat-Bulk, functional PBE-GGA.

volume	420.76	Å³/f.u.
E	-0.372	Ry/atom
calculated density	6.54	g/cm³
calculated formation energy	0.235	eV/atom

Cell lengths 8.6282, 8.6282, 6.6869 Å; angles 106.31, 106.31, 63.57 degrees
Atoms (fractional coordinates):
Dy (0.0597, 0.6972, 0.3091)
Dy (0.0903, 0.0903, 0.2227)
Dy (0.3028, 0.9403, 0.6909)
Dy (0.3092, 0.3092, 0.6060)
Dy (0.6908, 0.6908, 0.3940)
Dy (0.6972, 0.0597, 0.3091)
Dy (0.9097, 0.9097, 0.7773)
Dy (0.9403, 0.3028, 0.6909)
Y (0.3281, 0.6719, 0.0000)
Y (0.5000, 0.5000, 0.5000)
Y (0.6719, 0.3281, 0.0000)
Sc (0.2964, 0.2964, 0.0787)
Sc (0.7036, 0.7036, 0.9213)

=====

2.
A relaxed Dy5Y2Sc2 crystal. Source: Alexandria via LeMat-Bulk, functional PBE-GGA.

volume	276.03	Å³/f.u.
E	-0.388	Ry/atom
calculated density	6.50	g/cm³
offset from the most stable computed form	0	meV per atom
calculated formation energy	0.126	eV/atom

Cell lengths 9.8131, 9.8131, 8.4876 Å; angles 102.78, 102.78, 20.28 degrees
Atoms (fractional coordinates):
Dy (0.0000, 0.0000, 0.0000)
Dy (0.2215, 0.2215, 0.6500)
Dy (0.3363, 0.3363, 0.0210)
Dy (0.6637, 0.6637, 0.9790)
Dy (0.7785, 0.7785, 0.3500)
Y (0.0556, 0.0556, 0.6641)
Y (0.9444, 0.9444, 0.3359)
Sc (0.4002, 0.4002, 0.6496)
Sc (0.5998, 0.5998, 0.3504)